VASP calculation (PBE) on an optimized crystal structure of Pr3PtAuCl.

Lattice parameters (Å, degrees): 8.268 4.362 9.639 90.00 103.10 90.00
Space group P2_1/m (No. 11)
Asymmetric unit:
Pr (0.068, 0.250, 0.340) (multiplicity 2)
Pr (0.205, 0.250, 0.979) (multiplicity 2)
Pr (0.409, 0.750, 0.627) (multiplicity 2)
Pt (0.172, 0.250, 0.652) (multiplicity 2)
Au (0.295, 0.750, 0.265) (multiplicity 2)
Cl (0.398, 0.750, 0.913) (multiplicity 2)

Values from the calculation:
formation energy (no corrections)	-0.994	eV per atom



VASP calculation (PBE) on an optimized crystal structure of Rb2PrAuCl6.

Lattice parameters (Å, degrees): 10.992 10.992 10.992 90.00 90.00 90.00
Space group Fm-3m (No. 225)
Asymmetric unit:
Rb (0.250, 0.250, 0.250) (multiplicity 8)
Pr (0.000, 0.000, 0.000) (multiplicity 4)
Au (0.000, 0.000, 0.500) (multiplicity 4)
Cl (0.000, 0.000, 0.250) (multiplicity 24)

Values from the calculation:
formation energy (no corrections)	-1.645	eV per atom



VASP calculation (PBE) on an optimized crystal structure of Pr4RhAuCl2.

Lattice parameters (Å, degrees): 7.405 4.188 7.889 90.00 108.68 90.00
Space group P2/m (No. 10)
Asymmetric unit:
Pr (0.234, 0.000, 0.212) (multiplicity 2)
Pr (0.237, 0.500, 0.783) (multiplicity 2)
Rh (0.000, 0.500, 0.000) (multiplicity 1)
Au (0.500, 0.000, 0.000) (multiplicity 1)
Cl (0.000, 0.000, 0.500) (multiplicity 1)
Cl (0.500, 0.500, 0.500) (multiplicity 1)

Values from the calculation:
formation energy (no corrections)	-1.105	eV per atom



VASP calculation (PBE) on an optimized crystal structure of Pr8Rh3AuCl4.

Lattice parameters (Å, degrees): 14.498 8.373 8.974 90.00 122.65 90.00
Space group C2/m (No. 12)
Asymmetric unit:
Pr (0.017, 0.240, 0.292) (multiplicity 8)
Pr (0.236, 0.000, 0.708) (multiplicity 4)
Pr (0.242, 0.500, 0.708) (multiplicity 4)
Rh (0.000, 0.000, 0.500) (multiplicity 2)
Rh (0.250, 0.250, 0.500) (multiplicity 4)
Au (0.000, 0.500, 0.500) (multiplicity 2)
Cl (0.000, 0.000, 0.000) (multiplicity 2)
Cl (0.000, 0.500, 0.000) (multiplicity 2)
Cl (0.250, 0.250, 0.000) (multiplicity 4)

Values from the calculation:
formation energy (no corrections)	-1.134	eV per atom



VASP calculation (PBE) on an optimized crystal structure of Pr6Ru2AuCl3.

Lattice parameters (Å, degrees): 7.212 12.520 8.016 90.00 107.19 90.00
Space group C2/m (No. 12)
Asymmetric unit:
Pr (0.211, 0.000, 0.207) (multiplicity 4)
Pr (0.247, 0.322, 0.208) (multiplicity 8)
Ru (0.000, 0.166, 0.000) (multiplicity 4)
Au (0.000, 0.500, 0.000) (multiplicity 2)
Cl (0.000, 0.000, 0.500) (multiplicity 2)
Cl (0.000, 0.325, 0.500) (multiplicity 4)

Values from the calculation:
formation energy (no corrections)	-0.990	eV per atom



VASP calculation (PBE) on an optimized crystal structure of Pr8Ru3AuCl4.

Lattice parameters (Å, degrees): 14.350 8.288 9.027 90.00 122.05 90.00
Space group C2/m (No. 12)
Asymmetric unit:
Pr (0.019, 0.236, 0.293) (multiplicity 8)
Pr (0.237, 0.000, 0.710) (multiplicity 4)
Pr (0.245, 0.500, 0.707) (multiplicity 4)
Ru (0.000, 0.000, 0.500) (multiplicity 2)
Ru (0.250, 0.250, 0.500) (multiplicity 4)
Au (0.000, 0.500, 0.500) (multiplicity 2)
Cl (0.000, 0.000, 0.000) (multiplicity 2)
Cl (0.000, 0.500, 0.000) (multiplicity 2)
Cl (0.250, 0.250, 0.000) (multiplicity 4)

Values from the calculation:
formation energy (no corrections)	-0.946	eV per atom



VASP calculation (PBE) on an optimized crystal structure of Pr4Au2SCl.

Lattice parameters (Å, degrees): 7.332 4.231 7.490 90.00 109.10 90.00
Space group P2/m (No. 10)
Asymmetric unit:
Pr (0.238, 0.000, 0.237) (multiplicity 2)
Pr (0.242, 0.500, 0.756) (multiplicity 2)
Au (0.000, 0.000, 0.500) (multiplicity 1)
Au (0.500, 0.500, 0.500) (multiplicity 1)
S (0.000, 0.500, 0.000) (multiplicity 1)
Cl (0.500, 0.000, 0.000) (multiplicity 1)

Values from the calculation:
formation energy (no corrections)	-1.202	eV per atom



VASP calculation (PBE) on an optimized crystal structure of Pr4AuS2Cl.

Lattice parameters (Å, degrees): 7.234 4.111 7.371 90.00 108.67 90.00
Space group P2/m (No. 10)
Asymmetric unit:
Pr (0.238, 0.000, 0.227) (multiplicity 2)
Pr (0.255, 0.500, 0.765) (multiplicity 2)
Au (0.000, 0.000, 0.500) (multiplicity 1)
S (0.000, 0.500, 0.000) (multiplicity 1)
S (0.500, 0.000, 0.000) (multiplicity 1)
Cl (0.500, 0.500, 0.500) (multiplicity 1)

Values from the calculation:
formation energy (no corrections)	-1.560	eV per atom